# Tl2SiCl | Alexandria | GGA-PBE | optimized geometry
data_Tl2SiCl
_chemical_formula_sum 'Tl4 Si2 Cl2'
_space_group_name_H-M_alt 'I m m m'
_space_group_IT_number 71
_space_group_name_Hall '-I 2 2'
_cell_length_a 3.439
_cell_length_b 4.710
_cell_length_c 13.669
_cell_angle_alpha 90.00
_cell_angle_beta 90.00
_cell_angle_gamma 90.00
loop_
_atom_site_label
_atom_site_type_symbol
_atom_site_fract_x
_atom_site_fract_y
_atom_site_fract_z
Tl1 Tl 0.000 0.000 0.181
Si1 Si 0.000 0.500 0.500
Cl1 Cl 0.000 0.500 0.000
# Formation energy without anion corrections = 0.12 eV/atom
# ΔE to the lowest computed polymorph = 186 meV/atom